# NaCaNi3

A relaxed NaCaNi3 crystal (GGA-PBEsol, Alexandria).

Results
- DFT formation energy (eV per atom) = 1.38
- energy (eV per atom) = -3.02
- total magnetization (μB/f.u.) = 0.0
- crystal system = cubic

a = 4.644 Å, b = 4.644 Å, c = 4.644 Å
α = 90.00°, β = 90.00°, γ = 90.00°
Space group Pm-3m (No. 221)
Unique sites:
Na: 0.000 0.000 0.000 x1
Ca: 0.500 0.500 0.500 x1
Ni: 0.000 0.500 0.500 x3



# NaCaP2O

A relaxed NaCaP2O crystal (GGA-PBEsol, Alexandria).

Results
- energy relative to the elements, uncorrected (eV/f.u.) = 1.2
- energy (eV per atom) = -3.83
- total magnetization (μB/f.u.) = 0.8
- crystal system = tetragonal

a = 5.355 Å, b = 5.355 Å, c = 4.233 Å
α = 90.00°, β = 90.00°, γ = 90.00°
Space group P4/mmm (No. 123)
Unique sites:
Na: 0.000 0.000 0.000 x1
Ca: 0.500 0.500 0.500 x1
P: 0.000 0.500 0.500 x2
O: 0.500 0.500 0.000 x1



# NaCaP3O9

A relaxed NaCaP3O9 crystal (GGA-PBEsol, Alexandria).

Results
- energy relative to the elements, uncorrected (eV/f.u.) = -34.1
- energy (eV per atom) = -7.30
- total magnetization (μB/f.u.) = 0.0
- crystal system = triclinic

a = 6.743 Å, b = 6.949 Å, c = 7.656 Å
α = 83.67°, β = 81.52°, γ = 82.70°
Space group P-1 (No. 2)
Unique sites:
Na: 0.033 0.128 0.163 x2
Ca: 0.487 0.775 0.863 x2
P: 0.120 0.615 0.217 x2
P: 0.314 0.835 0.446 x2
P: 0.331 0.298 0.778 x2
O: 0.119 0.365 0.714 x2
O: 0.163 0.769 0.067 x2
O: 0.185 0.405 0.195 x2
O: 0.194 0.669 0.395 x2
O: 0.266 0.842 0.643 x2
O: 0.288 0.017 0.323 x2
O: 0.329 0.116 0.906 x2
O: 0.418 0.459 0.847 x2
O: 0.453 0.257 0.587 x2



# Na2CaP2O7

A relaxed Na2CaP2O7 crystal (GGA-PBEsol, Alexandria).

Results
- energy relative to the elements, uncorrected (eV/f.u.) = -30.0
- energy (eV per atom) = -6.94
- total magnetization (μB/f.u.) = 0.0
- crystal system = triclinic

a = 5.401 Å, b = 7.086 Å, c = 8.861 Å
α = 68.99°, β = 89.29°, γ = 89.12°
Space group P-1 (No. 2)
Unique sites:
Na: 0.231 0.206 0.013 x2
Na: 0.263 0.133 0.447 x2
Ca: 0.265 0.752 0.282 x2
P: 0.209 0.571 0.689 x2
P: 0.253 0.882 0.828 x2
O: 0.046 0.000 0.715 x2
O: 0.067 0.449 0.336 x2
O: 0.217 0.869 0.002 x2
O: 0.227 0.646 0.844 x2
O: 0.332 0.733 0.545 x2
O: 0.346 0.368 0.749 x2
O: 0.486 0.053 0.237 x2



# Na2CaS2O8

A relaxed Na2CaS2O8 crystal (GGA-PBEsol, Alexandria).

Results
- energy relative to the elements, uncorrected (eV/f.u.) = -26.5
- energy (eV per atom) = -6.32
- total magnetization (μB/f.u.) = 0.0
- crystal system = monoclinic

a = 10.049 Å, b = 8.282 Å, c = 8.484 Å
α = 90.00°, β = 111.52°, γ = 90.00°
Space group C2/c (No. 15)
Unique sites:
Na: 0.140 0.053 0.435 x8
Ca: 0.000 0.439 0.750 x4
S: 0.184 0.284 0.187 x8
O: 0.112 0.127 0.132 x8
O: 0.123 0.414 0.059 x8
O: 0.160 0.229 0.776 x8
O: 0.161 0.336 0.344 x8



# NaCaSb2O7

A relaxed NaCaSb2O7 crystal (GGA-PBEsol, Alexandria).

Results
- energy relative to the elements, uncorrected (eV/f.u.) = -18.9
- energy (eV per atom) = -6.21
- total magnetization (μB/f.u.) = 1.0
- crystal system = orthorhombic

a = 7.321 Å, b = 7.341 Å, c = 10.326 Å
α = 90.00°, β = 90.00°, γ = 90.00°
Space group Imma (No. 74)
Unique sites:
Na: 0.250 0.250 0.250 x4
Ca: 0.000 0.000 0.000 x4
Sb: 0.000 0.000 0.500 x4
Sb: 0.250 0.250 0.750 x4
O: 0.000 0.250 0.117 x4
O: 0.000 0.250 0.426 x4
O: 0.000 0.250 0.827 x4
O: 0.203 0.053 0.623 x16



# Na3CaSc3ZnSi8O24

A relaxed Na3CaSc3ZnSi8O24 crystal (GGA-PBEsol, Alexandria).

Results
- energy relative to the elements, uncorrected (eV/f.u.) = -114.5
- energy (eV per atom) = -7.85
- total magnetization (μB/f.u.) = 0.0
- crystal system = monoclinic

a = 5.337 Å, b = 9.016 Å, c = 9.773 Å
α = 90.00°, β = 104.80°, γ = 90.00°
Space group P2 (No. 3)
Unique sites:
Na: 0.000 0.000 0.000 x1
Na: 0.000 0.106 0.500 x1
Na: 0.500 0.613 0.000 x1
Ca: 0.500 0.511 0.500 x1
Sc: 0.000 0.411 0.000 x1
Sc: 0.500 0.202 0.000 x1
Sc: 0.500 0.907 0.500 x1
Zn: 0.000 0.711 0.500 x1
Si: 0.198 0.399 0.709 x2
Si: 0.203 0.718 0.211 x2
Si: 0.297 0.895 0.788 x2
Si: 0.299 0.218 0.290 x2
O: 0.084 0.797 0.849 x2
O: 0.094 0.323 0.352 x2
O: 0.199 0.556 0.141 x2
O: 0.209 0.558 0.638 x2
O: 0.222 0.227 0.117 x2
O: 0.223 0.890 0.616 x2
O: 0.276 0.387 0.882 x2
O: 0.286 0.721 0.384 x2
O: 0.300 0.057 0.359 x2
O: 0.301 0.057 0.859 x2
O: 0.414 0.300 0.648 x2
O: 0.415 0.816 0.149 x2



# NaCa2ScZn2Si6O18

A relaxed NaCa2ScZn2Si6O18 crystal (GGA-PBEsol, Alexandria).

Results
- energy relative to the elements, uncorrected (eV/f.u.) = -82.4
- energy (eV per atom) = -7.56
- total magnetization (μB/f.u.) = 0.0
- crystal system = monoclinic

a = 9.844 Å, b = 26.874 Å, c = 5.291 Å
α = 90.00°, β = 106.06°, γ = 90.00°
Space group C2/c (No. 15)
Unique sites:
Na: 0.000 0.232 0.250 x4
Ca: 0.000 0.099 0.750 x4
Ca: 0.000 0.433 0.750 x4
Sc: 0.000 0.300 0.750 x4
Zn: 0.000 0.031 0.250 x4
Zn: 0.000 0.365 0.250 x4
Si: 0.211 0.135 0.263 x8
Si: 0.213 0.196 0.762 x8
Si: 0.213 0.469 0.269 x8
O: 0.116 0.030 0.644 x8
O: 0.116 0.305 0.144 x8
O: 0.117 0.362 0.651 x8
O: 0.137 0.417 0.175 x8
O: 0.140 0.250 0.687 x8
O: 0.141 0.082 0.177 x8
O: 0.148 0.170 0.991 x8
O: 0.149 0.494 0.503 x8
O: 0.150 0.160 0.498 x8